VASP calculation (PBE) on an optimized crystal structure of ErSc2Cu4Si2Ge2.

Values from the calculation:
**Polymorph energy (0 for the lowest one)**: 16 meV/atom

The structure in CIF format:
```
data_ErSc2Cu4Si2Ge2
_chemical_formula_sum 'Er2 Sc4 Cu8 Si4 Ge4'
_symmetry_space_group_name_H-M 'I m m m'
_symmetry_Int_Tables_number 71
_symmetry_space_group_name_Hall '-I 2 2'
_cell_length_a 4.028
_cell_length_b 6.577
_cell_length_c 13.369
_cell_angle_alpha 90.00
_cell_angle_beta 90.00
_cell_angle_gamma 90.00
loop_
_atom_site_label
_atom_site_fract_x
_atom_site_fract_y
_atom_site_fract_z
Er1 0.000 0.000 0.000
Sc1 0.000 0.500 0.125
Cu1 0.000 0.307 0.334
Si1 0.000 0.181 0.500
Ge1 0.000 0.000 0.221
```

=====

VASP calculation (PBE) on an optimized crystal structure of ErSc2Cu4Si2Ge2.

Values from the calculation:
**Polymorph energy (0 for the lowest one)**: 0 meV/atom

The structure in CIF format:
```
data_ErSc2Cu4Si2Ge2
_chemical_formula_sum 'Er2 Sc4 Cu8 Si4 Ge4'
_symmetry_space_group_name_H-M 'I m m m'
_symmetry_Int_Tables_number 71
_symmetry_space_group_name_Hall '-I 2 2'
_cell_length_a 3.994
_cell_length_b 6.592
_cell_length_c 13.367
_cell_angle_alpha 90.00
_cell_angle_beta 90.00
_cell_angle_gamma 90.00
loop_
_atom_site_label
_atom_site_fract_x
_atom_site_fract_y
_atom_site_fract_z
Er1 0.000 0.000 0.000
Sc1 0.000 0.500 0.128
Cu1 0.000 0.307 0.325
Si1 0.000 0.000 0.220
Ge1 0.000 0.189 0.500
```

=====

VASP calculation (PBE) on an optimized crystal structure of ErCu2SiGe.

The structure in CIF format:
```
data_ErCu2SiGe
_chemical_formula_sum 'Er2 Cu4 Si2 Ge2'
_symmetry_space_group_name_H-M 'I 4 m m'
_symmetry_Int_Tables_number 107
_symmetry_space_group_name_Hall 'I 4 -2'
_cell_length_a 3.990
_cell_length_b 3.990
_cell_length_c 10.157
_cell_angle_alpha 90.00
_cell_angle_beta 90.00
_cell_angle_gamma 90.00
loop_
_atom_site_label
_atom_site_fract_x
_atom_site_fract_y
_atom_site_fract_z
Er1 0.000 0.000 0.000
Cu1 0.000 0.500 0.256
Si1 0.000 0.000 0.381
Ge1 0.000 0.000 0.616
```

=====

VASP calculation (PBE) on an optimized crystal structure of Er3Cu4Si2Ge2.

Values from the calculation:
**Polymorph energy (0 for the lowest one)**: 9 meV/atom

The structure in CIF format:
```
data_Er3Cu4Si2Ge2
_chemical_formula_sum 'Er6 Cu8 Si4 Ge4'
_symmetry_space_group_name_H-M 'I m m m'
_symmetry_Int_Tables_number 71
_symmetry_space_group_name_Hall '-I 2 2'
_cell_length_a 4.150
_cell_length_b 6.569
_cell_length_c 13.706
_cell_angle_alpha 90.00
_cell_angle_beta 90.00
_cell_angle_gamma 90.00
loop_
_atom_site_label
_atom_site_fract_x
_atom_site_fract_y
_atom_site_fract_z
Er1 0.000 0.000 0.000
Er2 0.000 0.500 0.129
Cu1 0.000 0.309 0.336
Si1 0.000 0.184 0.500
Ge1 0.000 0.000 0.217
```

=====

Number 1: total DFT energy (no corrections) -5.352 eV per atom. Number 2: total DFT energy (no corrections) -5.368 eV per atom. Number 3: total DFT energy (no corrections) -4.935 eV per atom. Number 4: total DFT energy (no corrections) -5.053 eV per atom.